Computed, not measured: crystalline POs2 at its relaxed geometry at the PBEsol level of DFT.

a = 6.542 Å, b = 6.542 Å, c = 4.580 Å
α = 90.00°, β = 90.00°, γ = 155.12°
Fractional coordinates of all 6 atoms:
1 P 0.132 0.868 0.750
2 P 0.868 0.132 0.250
3 Os 0.206 0.794 0.250
4 Os 0.468 0.532 0.750
5 Os 0.532 0.468 0.250
6 Os 0.794 0.206 0.750

Properties
- ΔH_f (0 K) (kcal/mol of atoms) = 5.84
- magnetic moment (μB per atom) = 0.000